[1]
# BeVSb2Mo

An optimized crystal structure of BeVSb2Mo (PBE, Alexandria via LeMat-Bulk).

Unit cell a=5.0286 b=5.0286 c=4.5770 alpha=90.00 beta=90.00 gamma=90.00
Last column: nearest neighbours and their distance in Å.
Space group P4/mmm (No. 123)
One atom of each set of equivalent atoms:
Be1 0.0000 0.0000 0.0000  8 Sb 3.40, 4 Mo 3.56
V1 0.5000 0.5000 0.5000  2 Mo 2.29, 4 Sb 2.51
Sb1 0.0000 0.5000 0.5000  2 V 2.51
Mo1 0.5000 0.5000 0.0000  2 V 2.29

## Properties
For the total magnetization, the calculation gives 1.1 Bohr magnetons per cell. The formation energy without anion corrections comes out at 1.22 eV per atom.

[2]
# TiV

An optimized crystal structure of TiV (PBE, Alexandria via LeMat-Bulk).

Unit cell a=7.5279 b=7.5279 c=4.5946 alpha=90.00 beta=90.00 gamma=90.00
Last column: nearest neighbours and their distance in Å.
Space group P4/m (No. 83)
One atom of each set of equivalent atoms:
Ti1 0.0515 0.6849 0.0000  4 V 2.56-2.77, 2 Ti 2.77
Ti2 0.1333 0.2267 0.5000  2 V 2.41-2.47
V1 0.2045 0.5475 0.5000  2 Ti 2.41-2.47, 2 V 2.68
V2 0.3000 0.3911 0.0000  4 V 2.42-2.68, 2 Ti 2.56-2.71

## Properties
For the total magnetization, the calculation gives 0.0 Bohr magnetons per cell. Its formation energy is 360.0 meV per atom.

[3]
# Si2AgAs

An optimized crystal structure of Si2AgAs (PBE, Alexandria via LeMat-Bulk).

Unit cell a=3.4026 b=4.3647 c=9.2689 alpha=90.00 beta=90.00 gamma=90.00
Last column: nearest neighbours and their distance in Å.
Space group Cmmm (No. 65)
One atom of each set of equivalent atoms:
Si1 0.0000 0.0000 0.2490  4 Si 2.77, 2 Ag 2.87, 2 As 2.88
Ag1 0.0000 0.5000 0.0000  4 Ag 2.77, 4 Si 2.87
As1 0.0000 0.5000 0.5000  4 As 2.77, 4 Si 2.88

## Properties
For the total magnetization, the calculation gives 0.0 Bohr magnetons per cell. The formation energy without anion corrections comes out at 0.49 eV per atom.

[4]
# CdCoPd2N

An optimized crystal structure of CdCoPd2N (PBE, Alexandria via LeMat-Bulk).

Unit cell a=4.4110 b=4.4110 c=3.5581 alpha=90.00 beta=90.00 gamma=90.00
Last column: nearest neighbours and their distance in Å.
Space group P4/mmm (No. 123)
One atom of each set of equivalent atoms:
Cd1 0.0000 0.0000 0.0000  8 Pd 2.83, 4 Co 3.12
Co1 0.5000 0.5000 0.0000  2 N 1.78
Pd1 0.0000 0.5000 0.5000  2 N 2.21
N1 0.5000 0.5000 0.5000  2 Co 1.78

## Properties
For the total magnetization, the calculation gives 0.0 Bohr magnetons per cell. The formation energy without anion corrections comes out at -0.01 eV per atom.

[5]
# Li3Sm3US8

An optimized crystal structure of Li3Sm3US8 (PBE, Alexandria via LeMat-Bulk).

Unit cell a=8.0407 b=8.0407 c=18.5032 alpha=90.00 beta=90.00 gamma=120.00
Last column: nearest neighbours and their distance in Å.
Space group R-3m (No. 166, hexagonal axes)
One atom of each set of equivalent atoms:
Li1 0.0000 0.5000 0.0000  6 S 2.77
Sm1 0.0000 0.5000 0.5000  6 S 2.80-2.81
U1 0.0000 0.0000 0.5000  6 S 2.69
S1 0.0000 0.0000 0.2514  3 Li 2.77, 3 Sm 2.80
S2 0.0135 0.5068 0.2482  1 U 2.69, 2 Li 2.77, 2 Sm 2.81

## Properties
For the total magnetization, the calculation gives 6.0 Bohr magnetons per cell. The formation energy without anion corrections comes out at -1.70 eV per atom.

[6]
# MgTlBi3

An optimized crystal structure of MgTlBi3 (PBE, Alexandria via LeMat-Bulk).

Unit cell a=5.6263 b=5.6263 c=5.6263 alpha=90.00 beta=90.00 gamma=90.00
Last column: nearest neighbours and their distance in Å.
Space group Pm-3m (No. 221)
One atom of each set of equivalent atoms:
Mg1 0.0000 0.0000 0.0000  6 Bi 2.81
Tl1 0.5000 0.5000 0.5000  12 Bi 3.98
Bi1 0.0000 0.0000 0.5000  2 Mg 2.81

## Properties
For the total magnetization, the calculation gives 0.0 Bohr magnetons per cell. Its formation energy is 335.7 meV per atom. The distance to the lowest polymorph of the same formula comes out at 0 meV/atom.

[7]
# HfMnNb3

An optimized crystal structure of HfMnNb3 (PBE, Alexandria via LeMat-Bulk).

Unit cell a=4.8569 b=4.8569 c=4.8569 alpha=90.00 beta=90.00 gamma=90.00
Last column: nearest neighbours and their distance in Å.
Space group Pm-3m (No. 221)
One atom of each set of equivalent atoms:
Hf1 0.0000 0.0000 0.0000  6 Nb 2.43
Mn1 0.5000 0.5000 0.5000  12 Nb 3.43
Nb1 0.0000 0.0000 0.5000  2 Hf 2.43

## Properties
For the total magnetization, the calculation gives 0.0 Bohr magnetons per cell. Its formation energy is 2166.3 meV per atom. The distance to the lowest polymorph of the same formula comes out at 1588 meV/atom.

[8]
# ZnInIr4

An optimized crystal structure of ZnInIr4 (PBE, Alexandria via LeMat-Bulk).

Unit cell a=7.3989 b=7.3989 c=7.3989 alpha=90.00 beta=90.00 gamma=90.00
Last column: nearest neighbours and their distance in Å.
Space group F-43m (No. 216)
One atom of each set of equivalent atoms:
Zn1 0.0000 0.0000 0.0000  12 Ir 3.07, 4 In 3.20
In1 0.2500 0.2500 0.7500  12 Ir 3.07, 4 Zn 3.20
Ir1 0.1253 0.1253 0.3747  6 Ir 2.61-2.62

## Properties
For the total magnetization, the calculation gives 0.0 Bohr magnetons per cell. Its formation energy is 281.3 meV per atom.

[9]
# Sr2AuSe

An optimized crystal structure of Sr2AuSe (PBE, Alexandria via LeMat-Bulk).

Unit cell a=4.5120 b=4.5120 c=6.3494 alpha=90.00 beta=90.00 gamma=90.00
Last column: nearest neighbours and their distance in Å.
Space group P4/mmm (No. 123)
One atom of each set of equivalent atoms:
Sr1 0.0000 0.0000 0.0000  2 Au 3.17, 4 Se 3.19
Sr2 0.5000 0.5000 0.5000  2 Se 3.17, 4 Au 3.19
Au1 0.0000 0.0000 0.5000  6 Sr 3.17-3.19
Se1 0.5000 0.5000 0.0000  6 Sr 3.17-3.19

## Properties
For the total magnetization, the calculation gives 0.0 Bohr magnetons per cell. The formation energy without anion corrections comes out at -1.28 eV per atom.

[10]
# Tm2PtRh2

An optimized crystal structure of Tm2PtRh2 (PBE, Alexandria via LeMat-Bulk).

Unit cell a=6.4011 b=11.4516 c=5.4220 alpha=90.00 beta=90.00 gamma=90.00
Last column: nearest neighbours and their distance in Å.
Space group Ibam (No. 72)
One atom of each set of equivalent atoms:
Tm1 0.2495 0.1668 0.0000  5 Rh 2.75-3.03, 2 Pt 2.84
Pt1 0.0000 0.0000 0.2500  2 Pt 2.71, 4 Rh 2.78, 4 Tm 2.84
Rh1 0.1587 0.4074 0.0000  5 Tm 2.75-3.03, 2 Pt 2.78, 1 Rh 2.94

## Properties
For the total magnetization, the calculation gives 0.0 Bohr magnetons per cell. Its formation energy is -711.2 meV per atom.

[11]
# Li3PaNi8

An optimized crystal structure of Li3PaNi8 (PBE, Alexandria via LeMat-Bulk).

Unit cell a=4.8146 b=4.8146 c=23.5202 alpha=90.00 beta=90.00 gamma=120.00
Last column: nearest neighbours and their distance in Å.
Space group R3m (No. 160, hexagonal axes)
One atom of each set of equivalent atoms:
Li1 0.0000 0.0000 0.0000  4 Li 2.65-2.88, 12 Ni 2.76-2.85
Li2 0.0000 0.0000 0.1127  1 Li 2.65, 9 Ni 2.65-2.90
Li3 0.0000 0.0000 0.6348  12 Ni 2.67-2.91, 3 Li 2.88
Pa1 0.0000 0.0000 0.5016  12 Ni 2.80-2.84, 3 Li 3.07
Ni1 0.0000 0.0000 0.3156  6 Ni 2.39-2.40
Ni2 0.0000 0.0000 0.8144  6 Ni 2.39-2.43
Ni3 0.0006 0.5003 0.0651  6 Ni 2.39-2.41, 3 Li 2.65-2.67
Ni4 0.1678 0.3355 0.8990  6 Ni 2.39-2.43

## Properties
For the total magnetization, the calculation gives 0.0 Bohr magnetons per cell. Its formation energy is -210.4 meV per atom.

[12]
# CuPbCl2

An optimized crystal structure of CuPbCl2 (PBE, Alexandria via LeMat-Bulk).

Unit cell a=3.8082 b=3.8082 c=24.1550 alpha=90.00 beta=90.00 gamma=120.00
Last column: nearest neighbours and their distance in Å.
Space group R3m (No. 160, hexagonal axes)
One atom of each set of equivalent atoms:
Cu1 0.0000 0.0000 0.0000  3 Cl 2.37
Pb1 0.0000 0.0000 0.2534  3 Cl 2.92, 3 Cu 2.93
Cl1 0.0000 0.0000 0.5075  3 Pb 2.92
Cl2 0.0000 0.0000 0.7034  3 Cu 2.37

## Properties
For the total magnetization, the calculation gives 0.0 Bohr magnetons per cell. The formation energy without anion corrections comes out at -0.50 eV per atom. The distance to the lowest polymorph of the same formula comes out at 0 meV/atom.